{
  "formula": "TlAsI6",
  "functional": "PBE",
  "state": "relaxed",
  "e_form_raw_ev_per_atom": -0.11,
  "spacegroup": "R-3",
  "density_g_cm3": 5.4,
  "e_tot_ev_per_atom": -2.151,
  "lattice": [[-1.692, 3.339, 6.448], [-1.846, -4.098, 5.948], [5.260, -0.509, 5.956]],
  "species": ["Tl", "As", "I", "I", "I", "I", "I", "I"],
  "fractional_positions": [[0.500, 0.500, 0.500], [0.000, 0.000, 0.000], [0.073, 0.406, 0.761], [0.760, 0.073, 0.761], [0.594, 0.240, 0.239], [0.240, 0.927, 0.239], [0.927, 0.594, 0.239], [0.406, 0.760, 0.761]]
}

---

{
  "formula": "Tl4AsI6",
  "functional": "PBE",
  "state": "relaxed",
  "e_form_raw_ev_per_atom": -0.41,
  "spacegroup": "P4/mnc",
  "density_g_cm3": 6.3,
  "e_tot_ev_per_atom": -2.536,
  "lattice": [[9.441, 0.000, 0.000], [0.000, 9.441, 0.000], [0.000, 0.000, 9.762]],
  "species": ["Tl", "Tl", "Tl", "Tl", "Tl", "Tl", "Tl", "Tl", "As", "As", "I", "I", "I", "I", "I", "I", "I", "I", "I", "I", "I", "I"],
  "fractional_positions": [[0.345, 0.155, 0.250], [0.155, 0.655, 0.750], [0.655, 0.845, 0.750], [0.845, 0.345, 0.750], [0.345, 0.155, 0.750], [0.155, 0.655, 0.250], [0.845, 0.345, 0.250], [0.655, 0.845, 0.250], [0.500, 0.500, 0.000], [0.000, 0.000, 0.500], [0.313, 0.869, 0.500], [0.813, 0.631, 0.000], [0.631, 0.187, 0.000], [0.131, 0.313, 0.500], [0.000, 0.000, 0.208], [0.500, 0.500, 0.292], [0.369, 0.813, 0.000], [0.000, 0.000, 0.792], [0.187, 0.369, 0.000], [0.500, 0.500, 0.708], [0.869, 0.687, 0.500], [0.687, 0.131, 0.500]]
}